Pm2ZnInAu6 | PBE-GGA | optimized geometry

The energy relative to the elements comes out at -0.44 eV per atom. The calculated density is 12.4 g/cm³. The total magnetization is 0.0000 μB/atom. The volume is 22.11 A^3/atom.

Lattice parameters (Å, degrees): 5.5282 9.7026 7.0643 44.56 67.04 89.96
Last column: nearest neighbours and their distance in Å.
Atoms (fractional coordinates):
Au (0.8214, 0.3108, 0.8583)  1 Zn 2.75, 4 Au 2.75-2.95, 1 In 2.96
Au (0.7661, 0.9418, 0.4676)  1 Zn 2.63, 1 In 2.72, 2 Au 2.91
Au (0.6775, 0.6917, 0.1402)  1 Zn 2.74, 4 Au 2.75-2.97, 1 In 2.96
Au (0.3225, 0.3083, 0.8598)  1 Zn 2.74, 4 Au 2.75-2.97, 1 In 2.96
Au (0.2339, 0.0582, 0.5324)  1 Zn 2.63, 1 In 2.72, 2 Au 2.91
Au (0.1786, 0.6892, 0.1417)  1 Zn 2.75, 4 Au 2.75-2.95, 1 In 2.96
Zn (0.0000, 0.0000, 0.0000)  6 Au 2.63-2.75
In (0.5000, 0.5000, 0.0000)  6 Au 2.72-2.96
Pm (0.7416, 0.2330, 0.5173)  7 Au 3.08-3.30, 2 Zn 3.40-3.42
Pm (0.2584, 0.7670, 0.4827)  7 Au 3.08-3.30, 2 Zn 3.40-3.42

---

Pr2InAu3 | PBE-GGA | optimized geometry

The calculation puts the excess energy over the best structure of this formula in the dataset at 65 meV per atom. The energy relative to the elements comes out at -0.64 eV per atom. The calculated density is 10.4 g/cm³. The total magnetization is 0.0000 μB/atom. The volume is 26.22 A^3/atom.

Lattice parameters (Å, degrees): 4.1334 4.1639 9.5988 102.53 102.43 90.00
Last column: nearest neighbours and their distance in Å.
Atoms (fractional coordinates):
Pr (0.8578, 0.3578, 0.7155)  4 Au 3.11, 4 In 3.45
Pr (0.1303, 0.1303, 0.2607)  8 Au 3.21-3.27
In (0.4569, 0.9569, 0.9138)  3 Au 2.71-2.85
Au (0.3012, 0.8012, 0.6024)  2 Au 2.75, 1 In 2.85
Au (0.5517, 0.5517, 0.1034)  2 In 2.71, 1 Au 2.75
Au (0.7021, 0.7021, 0.4042)  3 Au 2.75

---

Pr3In6Au5 | PBE-GGA | optimized geometry

The energy relative to the elements comes out at -0.54 eV per atom. The calculated density is 10.4 g/cm³. The total magnetization is 0.0000 μB/atom. The volume is 23.80 A^3/atom.

Lattice parameters (Å, degrees): 4.6910 10.1955 13.9353 90.00 90.00 90.00
Last column: nearest neighbours and their distance in Å.
Atoms (fractional coordinates):
Pr (0.0000, 0.2495, 0.2969)  8 In 3.30-3.61, 6 Au 3.33-3.68
Pr (0.5000, 0.7505, 0.2031)  8 In 3.30-3.61, 6 Au 3.33-3.68
Pr (0.0000, 0.2495, 0.7031)  8 In 3.30-3.61, 6 Au 3.33-3.68
Pr (0.0000, 0.2524, 0.0000)  6 Au 3.39, 6 In 3.54-3.66
Pr (0.5000, 0.7505, 0.7969)  8 In 3.30-3.61, 6 Au 3.33-3.68
Pr (0.5000, 0.7476, 0.5000)  6 Au 3.39, 6 In 3.54-3.66
In (0.5000, 0.5813, 0.0000)  6 Au 2.98-3.06, 2 In 3.02, 2 Pr 3.31
In (0.0000, 0.9758, 0.1537)  4 Au 2.83-2.97
In (0.5000, 0.3989, 0.8293)  4 Au 2.74-2.89, 1 In 3.02
In (0.5000, 0.9471, 0.0000)  4 Au 2.83-2.94
In (0.5000, 0.3989, 0.1707)  4 Au 2.74-2.89, 1 In 3.02
In (0.0000, 0.9758, 0.8463)  4 Au 2.83-2.97
In (0.0000, 0.4187, 0.5000)  6 Au 2.98-3.06, 2 In 3.02, 2 Pr 3.31
In (0.5000, 0.0242, 0.6537)  4 Au 2.83-2.97
In (0.0000, 0.6011, 0.6707)  4 Au 2.74-2.89, 1 In 3.02
In (0.0000, 0.0529, 0.5000)  4 Au 2.83-2.94
In (0.0000, 0.6011, 0.3293)  4 Au 2.74-2.89, 1 In 3.02
In (0.5000, 0.0242, 0.3463)  4 Au 2.83-2.97
Au (0.5000, 0.2265, 0.5000)  6 In 2.94-3.06, 2 Au 3.01
Au (0.5000, 0.4649, 0.3722)  5 In 2.79-2.98, 1 Au 3.01
Au (0.0000, 0.5351, 0.1278)  5 In 2.79-2.98, 1 Au 3.01
Au (0.5000, 0.4649, 0.6278)  5 In 2.79-2.98, 1 Au 3.01
Au (0.5000, 0.1314, 0.8486)  5 In 2.74-2.93
Au (0.5000, 0.1314, 0.1514)  5 In 2.74-2.93
Au (0.0000, 0.8686, 0.6514)  5 In 2.74-2.93
Au (0.0000, 0.7735, 0.0000)  6 In 2.94-3.06, 2 Au 3.01
Au (0.0000, 0.8686, 0.3486)  5 In 2.74-2.93
Au (0.0000, 0.5351, 0.8722)  5 In 2.79-2.98, 1 Au 3.01

---

Pr3In2Au4 | PBE-GGA | optimized geometry

The energy relative to the elements comes out at -0.71 eV per atom. The calculated density is 10.7 g/cm³. The total magnetization is 0.0000 μB/atom. The volume is 24.83 A^3/atom.

Lattice parameters (Å, degrees): 4.7768 6.1929 9.1444 114.28 90.00 112.69
Last column: nearest neighbours and their distance in Å.
Atoms (fractional coordinates):
In (0.3514, 0.7028, 0.6834)  4 Au 2.78-3.05
In (0.6486, 0.2972, 0.3166)  4 Au 2.78-3.05
Au (0.7188, 0.4377, 0.0602)  1 In 2.80, 2 Au 2.85, 1 Pr 3.12
Au (0.0740, 0.1480, 0.4066)  3 In 2.78-3.05, 1 Au 2.89
Au (0.2812, 0.5623, 0.9398)  1 In 2.80, 2 Au 2.85, 1 Pr 3.12
Au (0.9260, 0.8520, 0.5934)  3 In 2.78-3.05, 1 Au 2.89
Pr (0.0000, 0.0000, 0.0000)  8 Au 3.32-3.49, 4 In 3.55
Pr (0.6451, 0.2903, 0.6880)  7 Au 3.12-3.33, 4 In 3.34-3.41
Pr (0.3549, 0.7097, 0.3120)  7 Au 3.12-3.33, 4 In 3.34-3.41

---

Pr6In2Au | PBE-GGA | optimized geometry

The calculation puts the excess energy over the best structure of this formula in the dataset at 0 meV per atom. The energy relative to the elements comes out at -0.39 eV per atom. The calculated density is 7.5 g/cm³. The total magnetization is 0.0002 μB/atom. The volume is 31.33 A^3/atom.

Lattice parameters (Å, degrees): 3.8945 9.1427 9.1432 120.00 90.00 90.00
Last column: nearest neighbours and their distance in Å.
Atoms (fractional coordinates):
Pr (0.5000, 0.3966, 0.3966)  4 In 3.41, 1 Au 3.63, 6 Pr 3.69-3.74
Pr (0.5000, 0.0000, 0.6034)  4 In 3.41, 1 Au 3.63, 6 Pr 3.69-3.74
Pr (0.0000, 0.7396, 0.7396)  2 Au 3.08, 2 In 3.43
Pr (0.0000, 0.2607, 0.0000)  2 Au 3.08, 2 In 3.43
Pr (0.5000, 0.6031, 0.0000)  4 In 3.41, 1 Au 3.63, 6 Pr 3.69-3.74
Pr (0.0000, 0.0000, 0.2604)  2 Au 3.08, 2 In 3.43
In (0.0000, 0.6667, 0.3334)  9 Pr 3.41-3.43
In (0.0000, 0.3333, 0.6666)  9 Pr 3.41-3.43
Au (0.5000, 0.0001, 0.0000)  6 Pr 3.08

---

PrIn4Au12 | PBE-GGA | optimized geometry

The energy relative to the elements comes out at 0.01 eV per atom. The calculated density is 11.9 g/cm³. The total magnetization is 0.0000 μB/atom. The volume is 24.29 A^3/atom.

Lattice parameters (Å, degrees): 8.1256 8.1256 8.1256 109.47 109.47 109.47
Last column: nearest neighbours and their distance in Å.
Atoms (fractional coordinates):
Au (0.6496, 0.7949, 0.1453)  2 In 2.71, 2 Au 2.73-2.81
Au (0.4957, 0.1453, 0.3504)  2 In 2.71, 2 Au 2.73-2.81
Au (0.8547, 0.3504, 0.2051)  2 In 2.71, 2 Au 2.73-2.81
Au (0.2051, 0.8547, 0.3504)  2 In 2.71, 2 Au 2.73-2.81
Au (0.3504, 0.4957, 0.1453)  2 In 2.71, 2 Au 2.73-2.81
Au (0.1453, 0.3504, 0.4957)  2 In 2.71, 2 Au 2.73-2.81
Au (0.6496, 0.5043, 0.8547)  2 In 2.71, 2 Au 2.73-2.81
Au (0.1453, 0.6496, 0.7949)  2 In 2.71, 2 Au 2.73-2.81
Au (0.8547, 0.6496, 0.5043)  2 In 2.71, 2 Au 2.73-2.81
Au (0.7949, 0.1453, 0.6496)  2 In 2.71, 2 Au 2.73-2.81
Au (0.5043, 0.8547, 0.6496)  2 In 2.71, 2 Au 2.73-2.81
Au (0.3504, 0.2051, 0.8547)  2 In 2.71, 2 Au 2.73-2.81
In (0.0000, 0.5000, 0.0000)  6 Au 2.71
In (0.5000, 0.0000, 0.0000)  6 Au 2.71
In (0.0000, 0.0000, 0.5000)  6 Au 2.71
In (0.5000, 0.5000, 0.5000)  6 Au 2.71
Pr (0.0000, 0.0000, 0.0000)  12 Au 3.56

---

Pr4In12Au | PBE-GGA | optimized geometry

The energy relative to the elements comes out at -0.44 eV per atom. The calculated density is 8.0 g/cm³. The total magnetization is 0.0000 μB/atom. The volume is 26.15 A^3/atom.

Lattice parameters (Å, degrees): 8.3271 8.3271 8.3271 109.47 109.47 109.47
Last column: nearest neighbours and their distance in Å.
Atoms (fractional coordinates):
In (0.0000, 0.2901, 0.2901)  1 Au 2.79
In (0.2500, 0.5000, 0.7500)  8 In 3.14-3.40, 4 Pr 3.40
In (0.5000, 0.7500, 0.2500)  8 In 3.14-3.40, 4 Pr 3.40
In (0.7500, 0.5000, 0.2500)  8 In 3.14-3.40, 4 Pr 3.40
In (0.7099, 0.0000, 0.7099)  1 Au 2.79
In (0.7500, 0.2500, 0.5000)  8 In 3.14-3.40, 4 Pr 3.40
In (0.2901, 0.0000, 0.2901)  1 Au 2.79
In (0.5000, 0.2500, 0.7500)  8 In 3.14-3.40, 4 Pr 3.40
In (0.7099, 0.7099, 0.0000)  1 Au 2.79
In (0.0000, 0.7099, 0.7099)  1 Au 2.79
In (0.2500, 0.7500, 0.5000)  8 In 3.14-3.40, 4 Pr 3.40
In (0.2901, 0.2901, 0.0000)  1 Au 2.79
Pr (0.0000, 0.5000, 0.0000)  12 In 3.40-3.42
Pr (0.0000, 0.0000, 0.5000)  12 In 3.40-3.42
Pr (0.5000, 0.0000, 0.0000)  12 In 3.40-3.42
Pr (0.5000, 0.5000, 0.5000)  12 In 3.40-3.42
Au (0.0000, 0.0000, 0.0000)  6 In 2.79

---

Pr3InAu2 | PBE-GGA | optimized geometry

The energy relative to the elements comes out at -0.66 eV per atom. The calculated density is 9.4 g/cm³. The total magnetization is 0.0000 μB/atom. The volume is 27.38 A^3/atom.

Lattice parameters (Å, degrees): 3.7305 3.7305 11.8057 90.00 90.00 90.00
Last column: nearest neighbours and their distance in Å.
Atoms (fractional coordinates):
Pr (0.0000, 0.0000, 0.6809)  4 Au 3.23, 4 In 3.39
Pr (0.0000, 0.0000, 0.3191)  4 Au 3.23, 4 In 3.39
Pr (0.0000, 0.0000, 0.0000)  8 Au 3.25
In (0.5000, 0.5000, 0.5000)  8 Pr 3.39, 4 In 3.73
Au (0.5000, 0.5000, 0.8388)  8 Pr 3.23-3.25
Au (0.5000, 0.5000, 0.1612)  8 Pr 3.23-3.25